# AgSnBi | Alexandria via LeMat-Bulk | PBE-GGA | relaxed
# Formation energy from the elements   19 kJ/mol of formula units
# DOS(E_F)   3.804 states/eV/cell
data_AgSnBi
_space_group_name_H-M_alt 'C 1 2/m 1'
_space_group_IT_number 12
_cell_length_a 7.918
_cell_length_b 4.634
_cell_length_c 10.152
_cell_angle_alpha 90.00
_cell_angle_beta 105.11
_cell_angle_gamma 90.00
loop_
_space_group_symop_operation_xyz
'x,y,z'
'-x,-y,-z'
'-x,y,-z'
'x,-y,z'
'x+1/2,y+1/2,z'
'-x+1/2,-y+1/2,-z'
'-x+1/2,y+1/2,-z'
'x+1/2,-y+1/2,z'
loop_
_atom_site_label
_atom_site_fract_x
_atom_site_fract_y
_atom_site_fract_z
Ag1 0.190 0.000 0.067
Sn1 0.097 0.000 0.781
Bi1 0.209 0.500 0.626



# AcSm2Y | Alexandria via LeMat-Bulk | PBE-GGA | relaxed
# Formation energy from the elements   17 kJ/mol of formula units
# DOS(E_F)   6.478 states/eV/cell
data_AcSm2Y
_space_group_name_H-M_alt 'P 4/m m m'
_space_group_IT_number 123
_space_group_name_Hall '-P 4 2'
_cell_length_a 3.730
_cell_length_b 3.730
_cell_length_c 10.368
_cell_angle_alpha 90.00
_cell_angle_beta 90.00
_cell_angle_gamma 90.00
loop_
_atom_site_label
_atom_site_fract_x
_atom_site_fract_y
_atom_site_fract_z
Ac1 0.000 0.000 0.000
Sm1 0.500 0.500 0.262
Y1 0.000 0.000 0.500



# Tl2CuW | Alexandria via LeMat-Bulk | PBE-GGA | relaxed
# Formation energy from the elements   427 kJ/mol of formula units
# DOS(E_F)   11.577 states/eV/cell
data_Tl2CuW
_space_group_name_H-M_alt 'F m -3 m'
_space_group_IT_number 225
_space_group_name_Hall '-F 4 2 3'
_cell_length_a 6.821
_cell_length_b 6.821
_cell_length_c 6.821
_cell_angle_alpha 90.00
_cell_angle_beta 90.00
_cell_angle_gamma 90.00
loop_
_atom_site_label
_atom_site_fract_x
_atom_site_fract_y
_atom_site_fract_z
Tl1 0.250 0.250 0.250
Cu1 0.000 0.000 0.000
W1 0.000 0.000 0.500